Entry 1:
This record from Alexandria describes crystalline Y3MnTl4S8 at its relaxed geometry. The functional is PBE.

Cell: 7.9054 8.7404 7.9068 Å, 116.90 119.99 90.00°
Each line ends with the local moment (μB).
Sites, in units of the cell vectors:
Tl 0.0000 0.0000 0.0000  0.01
S 0.2661 0.2982 0.5322  0.00
Y 0.5000 0.5000 0.0000  0.01
S 0.7339 0.7018 0.4678  0.00
S 0.2209 0.6922 0.9713  -0.01
Y 0.0000 0.5000 0.5000  0.01
S 0.7504 0.6922 0.9713  -0.01
Y 0.5000 0.5000 0.5000  0.01
S 0.7788 0.3076 0.5576  -0.01
Mn 0.0000 0.5000 0.0000  3.84
Tl 0.5000 0.0000 0.5000  0.01
Tl 0.5000 0.0000 0.0000  0.00
S 0.2212 0.6924 0.4424  -0.01
S 0.2496 0.3078 0.0287  -0.01
Tl 0.0000 0.0000 0.5000  0.01
S 0.7791 0.3078 0.0287  -0.01

Calculated values
Space group: R-3m (166)
E_tot, eV/atom: -5.63
Formation energy without anion corrections, eV per atom: -1.191

***

Entry 2:
This record from Alexandria describes crystalline HfSi3Au at its relaxed geometry. The functional is PBE.

Cell: 4.7823 4.7823 4.7823 Å, 90.00 90.00 90.00°
Sites, in units of the cell vectors:
Hf 0.5000 0.5000 0.5000
Si 0.5000 0.0000 0.0000
Si 0.0000 0.5000 0.0000
Au 0.0000 0.0000 0.0000
Si 0.0000 0.0000 0.5000

Calculated values
Space group: Pm-3m (221)
E_tot, eV/atom: -4.91
Formation energy without anion corrections, eV per atom: 0.986

***

Entry 3:
This record from Alexandria describes crystalline Re2TcBr at its relaxed geometry. The functional is PBE.

Cell: 4.4610 4.4610 4.4633 Å, 119.98 119.98 90.02°
Sites, in units of the cell vectors:
Br 0.7501 0.2499 0.5000
Re 0.2503 0.7497 0.5000
Re 0.0002 0.9998 0.0000
Tc 0.4994 0.5006 0.0000

Calculated values
Space group: Imm2 (44)
E_tot, eV/atom: -8.09
Formation energy without anion corrections, eV per atom: 1.142

***

Entry 4:
This record from Alexandria describes crystalline LaHo5In2 at its relaxed geometry. The functional is PBE.

Cell: 3.6046 8.4672 8.4672 Å, 76.49 77.71 77.71°
Each line ends with the local moment (μB).
Sites, in units of the cell vectors:
Ho 0.6354 0.5902 0.1390  0.05
Ho 0.0000 0.5000 0.5000  0.02
Ho 0.3646 0.4098 0.8610  0.05
Ho 0.6354 0.1390 0.5902  0.05
In 0.7433 0.7567 0.7567  0.00
In 0.2567 0.2433 0.2433  0.00
La 0.0000 0.0000 0.0000  0.01
Ho 0.3646 0.8610 0.4098  0.05

Calculated values
Space group: Immm (71)
E_tot, eV/atom: -4.35
Energy of formation, eV per atom: -0.186

***

Entry 5:
This record from Alexandria describes crystalline SiBi at its relaxed geometry. The functional is PBE.

Cell: 3.6666 3.6672 9.8888 Å, 89.00 89.21 60.05°
Sites, in units of the cell vectors:
Si 0.3325 0.8315 0.5447
Si 0.6675 0.1685 0.4553
Bi 0.6726 0.1791 0.1816
Bi 0.3274 0.8209 0.8184

Calculated values
Space group: P-1 (2)
E_tot, eV/atom: -4.51
Formation energy without anion corrections, eV per atom: 0.147

***

Entry 6:
This record from Alexandria describes crystalline AlInCoIr at its relaxed geometry. The functional is PBE.

Cell: 4.3654 4.3654 4.3654 Å, 60.00 60.00 60.00°
Each line ends with the local moment (μB).
Sites, in units of the cell vectors:
In 0.2500 0.2500 0.2500  -0.01
Co 0.5000 0.5000 0.5000  0.30
Al 0.7500 0.7500 0.7500  -0.01
Ir 0.0000 0.0000 0.0000  0.02

Calculated values
Space group: F-43m (216)
E_tot, eV/atom: -5.88
Energy of formation, eV per atom: -0.270

***

Entry 7:
This record from Alexandria describes crystalline CrPt2Se at its relaxed geometry. The functional is PBE.

Cell: 5.2958 5.2958 5.2958 Å, 137.33 136.54 62.54°
Each line ends with the local moment (μB).
Sites, in units of the cell vectors:
Pt 0.7423 0.2423 0.5000  0.13
Pt 0.9525 0.9525 0.0000  0.11
Se 0.5572 0.5572 0.0000  -0.06
Cr 0.2480 0.7480 0.5000  3.33

Calculated values
Space group: Imm2 (44)
E_tot, eV/atom: -6.24
Formation energy without anion corrections, eV per atom: 0.053

***

Entry 8:
This record from Alexandria describes crystalline La2GdIn at its relaxed geometry. The functional is PBE.

Cell: 4.2727 4.2727 7.1219 Å, 90.00 90.00 90.00°
Each line ends with the local moment (μB).
Sites, in units of the cell vectors:
La 0.0000 0.0000 0.7312  0.05
Gd 0.5000 0.5000 0.0000  7.19
In 0.5000 0.5000 0.5000  -0.02
La 0.0000 0.0000 0.2688  0.05

Calculated values
Space group: P4/mmm (123)
E_tot, eV/atom: -6.88
Energy of formation, eV per atom: -0.210